Entry from Alexandria: a relaxed K3Ta2VO9 crystal (PBE with a Hubbard U).

Unit cell a=5.6137 b=5.6137 c=6.8785 alpha=90.00 beta=90.00 gamma=120.00
Space group P-3m1 (No. 164)
One atom of each set of equivalent atoms:
K  0.0000  0.0000  0.0000
K  0.3333  0.6667  0.6651
Ta  0.3333  0.6667  0.1721
V  0.0000  0.0000  0.5000
O  0.0000  0.5000  0.0000
O  0.1626  0.3251  0.3388

Results
Total moment (μB/f.u.): 0.0
Energy (eV per atom): -7.63